# PBE-GGA RuIO, optimized geometry
data_RuIO
_chemical_formula_sum 'Ru3 I3 O3'
_space_group_name_H-M_alt 'P 32 2 1'
_space_group_IT_number 154
_cell_length_a 6.0141
_cell_length_b 6.0141
_cell_length_c 6.8062
_cell_angle_alpha 90.00
_cell_angle_beta 90.00
_cell_angle_gamma 120.00
loop_
_space_group_symop_operation_xyz
'x,y,z'
'-y,x-y,z+2/3'
'-x+y,-x,z+1/3'
'y,x,-z'
'x-y,-y,-z+1/3'
'-x,-x+y,-z+2/3'
loop_
_atom_site_label
_atom_site_fract_x
_atom_site_fract_y
_atom_site_fract_z
_atom_site_occupancy
Ru1 0.0000 0.2129 0.3333 1
I1 0.0000 0.6642 0.3333 1
O1 0.0000 0.7339 0.8333 1
# Theoretical density   5701 kg/m3
# Formation energy from raw total energies   -172 meV per atom
# Magnetic moment   0.00 μB per formula unit

=====

# PBE-GGA LiCd2Ga2Au2, optimized geometry
data_LiCd2Ga2Au2
_chemical_formula_sum 'Li3 Cd6 Ga6 Au6'
_space_group_name_H-M_alt 'R -3 m'
_space_group_IT_number 166
_space_group_name_Hall '-R 3 2"'
_cell_length_a 4.5259
_cell_length_b 4.5259
_cell_length_c 22.7298
_cell_angle_alpha 90.00
_cell_angle_beta 90.00
_cell_angle_gamma 120.00
loop_
_atom_site_label
_atom_site_fract_x
_atom_site_fract_y
_atom_site_fract_z
_atom_site_occupancy
Li1 0.0000 0.0000 0.0000 1
Cd1 0.0000 0.0000 0.1321 1
Ga1 0.0000 0.0000 0.2716 1
Au1 0.0000 0.0000 0.3948 1
# Theoretical density   9453 kg/m3
# Formation enthalpy at 0 K   -262 meV/atom
# Magnetic moment   0.00 μB per formula unit

=====

# PBE-GGA Np6TlSe12, optimized geometry
data_Np6TlSe12
_chemical_formula_sum 'Np18 Tl3 Se36'
_space_group_name_H-M_alt 'R -3 m'
_space_group_IT_number 166
_space_group_name_Hall '-R 3 2"'
_cell_length_a 13.4660
_cell_length_b 13.4660
_cell_length_c 10.0118
_cell_angle_alpha 90.00
_cell_angle_beta 90.00
_cell_angle_gamma 120.00
loop_
_atom_site_label
_atom_site_fract_x
_atom_site_fract_y
_atom_site_fract_z
_atom_site_occupancy
Np1 0.0615 0.5308 0.2795 1
Tl1 0.0000 0.0000 0.0000 1
Se1 0.0000 0.3697 0.5000 1
Se2 0.0861 0.1722 0.3513 1
# Theoretical density   8155 kg/m3
# Formation energy from raw total energies   -903 meV per atom
# Magnetic moment   18.97 μB per formula unit

=====

# PBE-GGA PmPuZnAu, optimized geometry
data_PmPuZnAu
_chemical_formula_sum 'Pm4 Pu4 Zn4 Au4'
_space_group_name_H-M_alt 'F -4 3 m'
_space_group_IT_number 216
_space_group_name_Hall 'F -4 2 3'
_cell_length_a 7.312
_cell_length_b 7.312
_cell_length_c 7.312
_cell_angle_alpha 90.00
_cell_angle_beta 90.00
_cell_angle_gamma 90.00
loop_
_atom_site_label
_atom_site_fract_x
_atom_site_fract_y
_atom_site_fract_z
_atom_site_occupancy
Pm1 0.000 0.000 0.000 1
Pu1 0.000 0.000 0.500 1
Zn1 0.250 0.250 0.750 1
Au1 0.250 0.250 0.250 1
# Theoretical density   11068 kg/m3
# Formation enthalpy at 0 K   -338 meV/atom
# Magnetic moment   5.83 μB per formula unit

=====

# PBE-GGA KCrOs, optimized geometry
data_KCrOs
_chemical_formula_sum 'K4 Cr4 Os4'
_space_group_name_H-M_alt 'F m m 2'
_space_group_IT_number 42
_space_group_name_Hall 'F 2 -2'
_cell_length_a 2.955
_cell_length_b 4.627
_cell_length_c 15.810
_cell_angle_alpha 90.00
_cell_angle_beta 90.00
_cell_angle_gamma 90.00
loop_
_atom_site_label
_atom_site_fract_x
_atom_site_fract_y
_atom_site_fract_z
_atom_site_occupancy
K1 0.000 0.000 0.000 1
Cr1 0.000 0.000 0.693 1
Os1 0.000 0.000 0.315 1
# Theoretical density   8646 kg/m3
# Offset from the most stable computed form   261 meV/atom
# Formation enthalpy at 0 K   1116 meV/atom
# Magnetic moment   0.83 μB per formula unit

=====

# PBE-GGA VCu2H2, optimized geometry
data_VCu2H2
_chemical_formula_sum 'V2 Cu4 H4'
_space_group_name_H-M_alt 'I 4/m m m'
_space_group_IT_number 139
_space_group_name_Hall '-I 4 2'
_cell_length_a 2.661
_cell_length_b 2.661
_cell_length_c 12.475
_cell_angle_alpha 90.00
_cell_angle_beta 90.00
_cell_angle_gamma 90.00
loop_
_atom_site_label
_atom_site_fract_x
_atom_site_fract_y
_atom_site_fract_z
_atom_site_occupancy
V1 0.000 0.000 0.000 1
Cu1 0.000 0.000 0.345 1
H1 0.000 0.500 0.250 1
# Theoretical density   6769 kg/m3
# Offset from the most stable computed form   141 meV/atom
# Magnetic moment   0.00 μB per formula unit

=====

# PBE-GGA K4Tl2Hg, optimized geometry
data_K4Tl2Hg
_chemical_formula_sum 'K8 Tl4 Hg2'
_space_group_name_H-M_alt 'P -1'
_space_group_IT_number 2
_cell_length_a 7.332
_cell_length_b 8.593
_cell_length_c 11.214
_cell_angle_alpha 89.23
_cell_angle_beta 70.99
_cell_angle_gamma 64.92
loop_
_space_group_symop_operation_xyz
'x,y,z'
'-x,-y,-z'
loop_
_atom_site_label
_atom_site_fract_x
_atom_site_fract_y
_atom_site_fract_z
_atom_site_occupancy
K1 0.184 0.256 0.374 1
K2 0.188 0.756 0.867 1
K3 0.248 0.753 0.254 1
K4 0.254 0.249 0.748 1
Tl1 0.278 0.392 0.057 1
Tl2 0.500 0.000 0.000 1
Tl3 0.500 0.500 0.500 1
Hg1 0.279 0.895 0.554 1
# Theoretical density   4249 kg/m3
# Formation enthalpy at 0 K   -106 meV/atom
# Magnetic moment   0.00 μB per formula unit

=====

# PBE-GGA TbCePm2Er4, optimized geometry
data_TbCePm2Er4
_chemical_formula_sum 'Tb1 Ce1 Pm2 Er4'
_space_group_name_H-M_alt 'P 1 2/m 1'
_space_group_IT_number 10
_cell_length_a 6.155
_cell_length_b 3.553
_cell_length_c 11.711
_cell_angle_alpha 90.00
_cell_angle_beta 100.16
_cell_angle_gamma 90.00
loop_
_space_group_symop_operation_xyz
'x,y,z'
'-x,-y,-z'
'-x,y,-z'
'x,-y,z'
loop_
_atom_site_label
_atom_site_fract_x
_atom_site_fract_y
_atom_site_fract_z
_atom_site_occupancy
Tb1 0.000 0.000 0.000 1
Ce1 0.000 0.500 0.500 1
Pm1 0.500 0.000 0.500 1
Pm2 0.500 0.500 0.000 1
Er1 0.246 0.000 0.748 1
Er2 0.247 0.500 0.250 1
# Theoretical density   8288 kg/m3
# Formation enthalpy at 0 K   40 meV/atom
# Magnetic moment   0.82 μB per formula unit

=====

So what do the calculations give for total DFT energy (no corrections)? Going down the list: -0.1997 -0.0955 -0.2688 -0.2295 -0.2279 -0.1660 -0.0534 -0.1745 Ha/atom.
So what do the calculations give for calculated volume? Going down the list: 71.1 134.4 524.1 97.7 54.0 44.2 299.3 252.1 Å³/f.u..